First-principles (SCAN) data for a crystal of NaI relaxed with PBEsol, as listed in Alexandria via LeMat-Bulk.

a b c (Å): 4.386 4.386 8.183
angles (deg): 105.54 105.54 90.00
Positions (direct):
I  0.250  0.750  0.500
I  0.000  0.000  0.000
Na  0.750  0.250  0.500
Na  0.500  0.500  0.000

Results
- Formation energy (no corrections): -1.2749 eV/atom
- Space-group type: I4_1/amd (141)

=====

First-principles (SCAN) data for a crystal of Na2NbI relaxed with PBEsol, as listed in Alexandria via LeMat-Bulk.

a b c (Å): 5.484 5.484 5.484
angles (deg): 60.00 60.00 60.00
Positions (direct):
I  0.500  0.500  0.500
Na  0.750  0.750  0.750
Na  0.250  0.250  0.250
Nb  0.000  0.000  0.000

Results
- Formation energy (no corrections): 0.6049 eV/atom
- Space-group type: Fm-3m (225)

=====

First-principles (SCAN) data for a crystal of NaNbI2 relaxed with PBEsol, as listed in Alexandria via LeMat-Bulk.

a b c (Å): 5.980 5.980 9.291
angles (deg): 108.77 108.77 90.00
Positions (direct):
Na  0.500  0.500  0.000
Na  0.750  0.250  0.500
Nb  0.000  0.000  0.000
Nb  0.250  0.750  0.500
I  0.341  0.875  0.250
I  0.909  0.375  0.250
I  0.125  0.091  0.750
I  0.625  0.659  0.750

Results
- Formation energy (no corrections): -0.0694 eV/atom
- Space-group type: I-42d (122)

=====

First-principles (SCAN) data for a crystal of NaNbSeI2 relaxed with PBEsol, as listed in Alexandria via LeMat-Bulk.

a b c (Å): 5.322 5.322 5.696
angles (deg): 90.00 90.00 90.00
Positions (direct):
Na  0.000  0.000  0.000
Nb  0.000  0.000  0.500
Se  0.500  0.500  0.500
I  0.000  0.500  0.000
I  0.500  0.000  0.000

Results
- Formation energy (no corrections): 0.9168 eV/atom
- Space-group type: P4/mmm (123)

=====

First-principles (SCAN) data for a crystal of NaNbSn2I relaxed with PBEsol, as listed in Alexandria via LeMat-Bulk.

a b c (Å): 5.387 5.387 5.566
angles (deg): 90.00 90.00 90.00
Positions (direct):
Sn  0.500  0.000  0.000
Sn  0.000  0.500  0.000
Na  0.500  0.500  0.500
I  0.000  0.000  0.500
Nb  0.000  0.000  0.000

Results
- Formation energy (no corrections): 0.1434 eV/atom
- Space-group type: P4/mmm (123)

=====

First-principles (SCAN) data for a crystal of NaNbTeI2 relaxed with PBEsol, as listed in Alexandria via LeMat-Bulk.

a b c (Å): 5.408 5.408 5.566
angles (deg): 90.00 90.00 90.00
Positions (direct):
I  0.500  0.000  0.000
I  0.000  0.500  0.000
Nb  0.500  0.500  0.500
Te  0.000  0.000  0.500
Na  0.000  0.000  0.000

Results
- Formation energy (no corrections): 0.6387 eV/atom
- Space-group type: P4/mmm (123)

=====

First-principles (SCAN) data for a crystal of Na3NiI relaxed with PBEsol, as listed in Alexandria via LeMat-Bulk.

a b c (Å): 5.750 5.750 5.750
angles (deg): 90.00 90.00 90.00
Positions (direct):
I  0.000  0.000  0.000
Na  0.500  0.000  0.000
Na  0.000  0.000  0.500
Na  0.000  0.500  0.000
Ni  0.500  0.500  0.500

Results
- Formation energy (no corrections): 0.2583 eV/atom
- Space-group type: Pm-3m (221)

=====

First-principles (SCAN) data for a crystal of NaNiIO6 relaxed with PBEsol, as listed in Alexandria via LeMat-Bulk.

a b c (Å): 4.949 4.949 5.214
angles (deg): 90.00 90.00 120.00
Positions (direct):
O  0.005  0.375  0.703
O  0.371  0.375  0.297
O  0.625  0.629  0.703
O  0.371  0.995  0.703
O  0.005  0.629  0.297
O  0.625  0.995  0.297
I  0.667  0.333  0.500
Ni  0.333  0.667  0.500
Na  0.000  0.000  0.000

Results
- Formation energy (no corrections): -0.8963 eV/atom
- Space-group type: P312 (149)

=====

Question: formation energy (no corrections) of number 3 (NaNbI2)?
Answer: -0.0694 eV/atom

=====

Question: Number 3 is which compound?
Answer: NaNbI2

=====

Repeat the third record exactly.
First-principles (SCAN) data for a crystal of NaNbI2 relaxed with PBEsol, as listed in Alexandria via LeMat-Bulk.

a b c (Å): 5.980 5.980 9.291
angles (deg): 108.77 108.77 90.00
Positions (direct):
Na  0.500  0.500  0.000
Na  0.750  0.250  0.500
Nb  0.000  0.000  0.000
Nb  0.250  0.750  0.500
I  0.341  0.875  0.250
I  0.909  0.375  0.250
I  0.125  0.091  0.750
I  0.625  0.659  0.750

Results
- Formation energy (no corrections): -0.0694 eV/atom
- Space-group type: I-42d (122)